The following is a PBE calculation of a geometry-optimized In2IO6 structure, from the Alexandria database.

Cell and atoms, written as POSCAR:
```
In2IO6
1.0
-4.3675 2.1477 -0.7228
-2.1202 -3.3186 2.9499
1.6148 5.9134 7.8133
In I O
4 2 12
Cartesian
-2.7037 1.3926 3.7270
-2.1691 3.3500 6.3133
0.2673 0.9787 1.2931
1.3476 4.9347 6.5201
-3.2438 -0.5854 1.1135
0.8074 2.9567 3.9066
-4.2051 0.1147 2.7438
-3.0922 4.1903 8.1288
-3.7975 2.1256 5.4874
-3.8960 1.0009 0.0477
-3.3911 3.1641 2.6559
-2.8892 5.0019 5.0842
-1.9836 -0.2594 4.9561
-1.4818 1.5784 7.3844
-2.5917 -2.1718 2.1793
-1.0753 2.6169 4.5529
-1.7806 0.5523 1.9115
-0.6677 4.6279 7.2965
```

## Properties
uncorrected energy: -5.0257 eV/atom
V: 13.36 Å³ per atom
raw formation energy: -0.94 eV/atom
E above lowest polymorph: 0.000 eV per atom